# RbCu2I3 (PBE, optimized geometry)
data_RbCu2I3
_chemical_formula_sum 'Rb4 Cu8 I12'
_cell_length_a 11.224
_cell_length_b 14.286
_cell_length_c 5.381
_cell_angle_alpha 90.00
_cell_angle_beta 90.00
_cell_angle_gamma 90.00
_space_group_name_H-M_alt 'C m c m'
_space_group_IT_number 63
_space_group_name_Hall '-C 2c 2'
loop_
_atom_site_label
_atom_site_type_symbol
_atom_site_fract_x
_atom_site_fract_y
_atom_site_fract_z
Rb1 Rb 0.000 0.203 0.250
Cu1 Cu 0.166 0.500 0.000
I1 I 0.000 0.396 0.750
I2 I 0.213 0.125 0.750
# Energy, eV per atom: -2.895
# Formation energy (no corrections), meV/atom: -593
# Density of states at the Fermi level, states/eV/atom: 0.000